No. 1
SCAN SrLi3Ir, single point on PBEsol structure; E_form = 0.08 eV/atom; D(E_F) = 0.4752 states/eV per atom; volume = 108.1 Å³ per cell; E = -100.2 eV/cell
1.0
4.764 0.000 0.000
0.000 4.764 0.000
0.000 0.000 4.764
Sr Li Ir
1 3 1
direct
0.000 0.000 0.000 Sr
0.000 0.500 0.500 Li
0.500 0.000 0.500 Li
0.500 0.500 0.000 Li
0.500 0.500 0.500 Ir

=====

No. 2
SCAN TiI3N, single point on PBEsol structure; D(E_F) = 0.4882 states/eV per atom; volume = 165.0 Å³ per cell; E = -133.3 eV/cell; energy relative to the elements, uncorrected = 0.449 eV per atom
1.0
5.485 0.000 0.000
0.000 5.485 0.000
0.000 0.000 5.485
Ti I N
1 3 1
direct
0.000 0.000 0.000 Ti
0.000 0.000 0.500 I
0.000 0.500 0.000 I
0.500 0.000 0.000 I
0.500 0.500 0.500 N

=====

No. 3
SCAN ZrScHg2, single point on PBEsol structure; E_form = -0.48 eV/atom; energy above the lowest structure with this stoichiometry = 11 meV per atom; D(E_F) = 0.3914 states/eV per atom; volume = 332.9 Å³ per cell; E = -732.8 eV/cell
1.0
6.930 0.000 0.000
0.000 6.930 0.000
0.000 0.000 6.930
Zr Sc Hg
4 4 8
direct
0.000 0.000 0.000 Zr
0.000 0.500 0.500 Zr
0.500 0.000 0.500 Zr
0.500 0.500 0.000 Zr
0.000 0.000 0.500 Sc
0.000 0.500 0.000 Sc
0.500 0.000 0.000 Sc
0.500 0.500 0.500 Sc
0.250 0.250 0.250 Hg
0.250 0.250 0.750 Hg
0.250 0.750 0.250 Hg
0.250 0.750 0.750 Hg
0.750 0.250 0.250 Hg
0.750 0.250 0.750 Hg
0.750 0.750 0.250 Hg
0.750 0.750 0.750 Hg

=====

No. 4
SCAN Ca2BeRu, single point on PBEsol structure; E_form = -0.06 eV/atom; D(E_F) = 0.5376 states/eV per atom; volume = 287.5 Å³ per cell; E = -176.3 eV/cell
1.0
3.903 0.000 0.000
-1.951 3.380 0.000
0.000 0.000 21.795
Ca Be Ru
6 3 3
direct
0.000 0.000 0.000 Ca
0.000 0.000 0.171 Ca
0.333 0.667 0.667 Ca
0.333 0.667 0.838 Ca
0.667 0.333 0.333 Ca
0.667 0.333 0.504 Ca
0.000 0.000 0.419 Be
0.333 0.667 0.085 Be
0.667 0.333 0.752 Be
0.000 0.000 0.752 Ru
0.333 0.667 0.419 Ru
0.667 0.333 0.086 Ru

=====

No. 5
SCAN MnOF, single point on PBEsol structure; D(E_F) = 0.2189 states/eV per atom; volume = 256.0 Å³ per cell; E = -282.8 eV/cell; energy relative to the elements, uncorrected = -2.442 eV per atom
1.0
4.581 -6.115 0.000
4.581 6.115 0.000
-0.020 0.000 4.570
Mn O F
8 8 8
direct
0.000 0.000 0.000 Mn
0.147 0.381 0.562 Mn
0.248 0.749 0.092 Mn
0.381 0.147 0.562 Mn
0.526 0.526 0.126 Mn
0.631 0.899 0.559 Mn
0.749 0.248 0.092 Mn
0.899 0.631 0.559 Mn
0.036 0.777 0.872 O
0.110 0.593 0.384 O
0.163 0.163 0.750 O
0.364 0.364 0.377 O
0.480 0.740 0.273 O
0.593 0.110 0.384 O
0.740 0.480 0.273 O
0.777 0.036 0.872 O
0.221 0.993 0.261 F
0.304 0.531 0.873 F
0.391 0.922 0.784 F
0.531 0.304 0.873 F
0.669 0.669 0.761 F
0.864 0.864 0.351 F
0.922 0.391 0.784 F
0.993 0.221 0.261 F

=====

No. 6
SCAN Al2ZnPt, single point on PBEsol structure; E_form = -0.59 eV/atom; D(E_F) = 0.2830 states/eV per atom; volume = 116.5 Å³ per cell; E = -203.2 eV/cell
1.0
8.989 0.000 0.000
0.000 2.889 0.000
-0.550 0.000 4.487
Al Zn Pt
4 2 2
direct
0.000 0.000 0.000 Al
0.246 0.000 0.711 Al
0.500 0.500 0.000 Al
0.746 0.500 0.711 Al
0.253 0.500 0.214 Zn
0.753 0.000 0.214 Zn
0.006 0.500 0.502 Pt
0.506 0.000 0.502 Pt

=====

No. 7
SCAN FeHN3, single point on PBEsol structure; D(E_F) = 0.4803 states/eV per atom; volume = 33.5 Å³ per cell; E = -38.5 eV/cell
1.0
3.223 0.000 0.000
0.000 3.223 0.000
0.000 0.000 3.223
Fe H N
1 1 3
direct
0.000 0.000 0.000 Fe
0.500 0.500 0.500 H
0.000 0.500 0.500 N
0.500 0.000 0.500 N
0.500 0.500 0.000 N

=====

No. 8
SCAN Sc2SbPt, single point on PBEsol structure; D(E_F) = 1.2676 states/eV per atom; volume = 306.8 Å³ per cell; E = -552.8 eV/cell; energy relative to the elements, uncorrected = -0.566 eV per atom
1.0
6.745 0.000 0.000
0.000 6.745 0.000
0.000 0.000 6.745
Sc Sb Pt
8 4 4
direct
0.000 0.000 0.000 Sc
0.000 0.500 0.500 Sc
0.250 0.250 0.250 Sc
0.250 0.750 0.750 Sc
0.500 0.000 0.500 Sc
0.500 0.500 0.000 Sc
0.750 0.250 0.750 Sc
0.750 0.750 0.250 Sc
0.000 0.000 0.500 Sb
0.000 0.500 0.000 Sb
0.500 0.000 0.000 Sb
0.500 0.500 0.500 Sb
0.250 0.250 0.750 Pt
0.250 0.750 0.250 Pt
0.750 0.250 0.250 Pt
0.750 0.750 0.750 Pt